! KSiN2F | the Alexandria database | meta-GGA SCAN | PBEsol geometry; values from VASP
! - E_form (uncorrected) (eV per atom) = -0.835
! - space group = P4/mmm (123)
&SYSTEM
  ibrav = 0, nat = 5, ntyp = 4
/
ATOMIC_SPECIES
K 39.10 K.upf
Si 28.09 Si.upf
N 14.01 N.upf
F 19.00 F.upf
CELL_PARAMETERS angstrom
3.4868 0.0000 0.0000
0.0000 3.4868 0.0000
0.0000 0.0000 4.7129
ATOMIC_POSITIONS angstrom
K 0.0000 0.0000 0.0000
Si 1.7434 1.7434 2.3565
N 0.0000 1.7434 2.3565
N 1.7434 0.0000 2.3565
F 1.7434 1.7434 0.0000

---

! Cs4P2Se9 | the Alexandria database | meta-GGA SCAN | PBEsol geometry; values from VASP
! - E_form (uncorrected) (eV per atom) = -0.826
! - space group = C2/c (15)
&SYSTEM
  ibrav = 0, nat = 30, ntyp = 3
/
ATOMIC_SPECIES
Cs 132.91 Cs.upf
P 30.97 P.upf
Se 78.96 Se.upf
CELL_PARAMETERS angstrom
5.0211 -5.2435 0.0000
5.0211 5.2435 0.0000
-1.1032 0.0000 19.5305
ATOMIC_POSITIONS angstrom
Cs 0.7061 1.0366 16.1427
Cs 4.0811 2.6415 10.2780
Cs 1.2577 -1.0366 6.3775
Cs 4.3062 2.6415 19.0177
Cs 4.6327 -2.6415 0.5127
Cs 7.6813 1.0366 13.1530
Cs 4.8578 -2.6415 9.2525
Cs 8.2329 -1.0366 3.3877
P 1.6934 0.0913 12.1752
P 2.2450 -0.0913 2.4100
P 6.6940 0.0913 17.1205
P 7.2456 -0.0913 7.3553
Se 1.0454 1.2999 3.5713
Se 7.8935 -1.2999 15.9592
Se 2.7626 3.0923 6.9236
Se 2.5351 0.4020 0.2886
Se 0.4938 -1.2999 13.3365
Se 1.9835 -0.4020 10.0539
Se 6.7279 3.0923 2.8416
Se 4.1937 1.0586 14.6478
Se 4.5128 0.2292 2.9157
Se 3.9612 -0.2292 12.6810
Se 4.9777 0.2292 6.8495
Se 4.4261 -0.2292 16.6147
Se 4.7453 -1.0586 4.8826
Se 2.2110 -3.0923 16.6888
Se 6.9555 0.4020 9.4766
Se 8.4451 1.2999 6.1940
Se 6.4038 -0.4020 19.2418
Se 6.1763 -3.0923 12.6069

---

! AlOs3Br | the Alexandria database | meta-GGA SCAN | PBEsol geometry; values from VASP
! - E_form (uncorrected) (eV per atom) = 2.479
! - space group = Pm-3m (221)
&SYSTEM
  ibrav = 0, nat = 5, ntyp = 3
/
ATOMIC_SPECIES
Al 26.98 Al.upf
Os 190.23 Os.upf
Br 79.90 Br.upf
CELL_PARAMETERS angstrom
4.4948 0.0000 0.0000
0.0000 4.4948 0.0000
0.0000 0.0000 4.4948
ATOMIC_POSITIONS angstrom
Al 0.0000 0.0000 0.0000
Os 0.0000 2.2474 2.2474
Os 2.2474 0.0000 2.2474
Os 2.2474 2.2474 0.0000
Br 2.2474 2.2474 2.2474

---

! Al3BPd | the Alexandria database | meta-GGA SCAN | PBEsol geometry; values from VASP
! - energy of formation (eV/atom) = -0.02
! - space group = Pm-3m (221)
&SYSTEM
  ibrav = 0, nat = 5, ntyp = 3
/
ATOMIC_SPECIES
Al 26.98 Al.upf
B 10.81 B.upf
Pd 106.42 Pd.upf
CELL_PARAMETERS angstrom
4.1046 0.0000 0.0000
0.0000 4.1046 0.0000
0.0000 0.0000 4.1046
ATOMIC_POSITIONS angstrom
Al 0.0000 0.0000 2.0523
Al 0.0000 2.0523 0.0000
Al 2.0523 0.0000 0.0000
B 0.0000 0.0000 0.0000
Pd 2.0523 2.0523 2.0523

---

! Co3Re4B4 | the Alexandria database | meta-GGA SCAN | PBEsol geometry; values from VASP
! - energy of formation (eV/atom) = -0.18
! - space group = P4/mbm (127)
&SYSTEM
  ibrav = 0, nat = 22, ntyp = 3
/
ATOMIC_SPECIES
Co 58.93 Co.upf
Re 186.21 Re.upf
B 10.81 B.upf
CELL_PARAMETERS angstrom
5.2572 0.0000 0.0000
0.0000 5.2572 0.0000
0.0000 0.0000 7.8983
ATOMIC_POSITIONS angstrom
Co 0.0000 0.0000 0.0000
Co 0.8493 1.7793 3.9492
Co 1.7793 4.4078 3.9492
Co 2.6286 2.6286 0.0000
Co 3.4779 0.8493 3.9492
Co 4.4078 3.4779 3.9492
Re 0.9182 3.5468 1.7661
Re 0.9182 3.5468 6.1322
Re 1.7103 0.9182 1.7661
Re 1.7103 0.9182 6.1322
Re 3.5468 4.3389 1.7661
Re 3.5468 4.3389 6.1322
Re 4.3389 1.7103 1.7661
Re 4.3389 1.7103 6.1322
B 0.0000 0.0000 2.9896
B 0.0000 0.0000 4.9087
B 0.6489 1.9797 0.0000
B 1.9797 4.6083 0.0000
B 2.6286 2.6286 2.9896
B 2.6286 2.6286 4.9087
B 3.2774 0.6489 0.0000
B 4.6083 3.2774 0.0000

---

! CaMg3 | the Alexandria database | meta-GGA SCAN | PBEsol geometry; values from VASP
! - energy of formation (eV/atom) = -0.01
! - space group = I4/mmm (139)
&SYSTEM
  ibrav = 0, nat = 8, ntyp = 2
/
ATOMIC_SPECIES
Ca 40.08 Ca.upf
Mg 24.30 Mg.upf
CELL_PARAMETERS angstrom
-2.3611 2.3611 9.4573
2.3611 -2.3611 9.4573
2.3611 2.3611 -9.4573
ATOMIC_POSITIONS angstrom
Ca 0.0000 0.0000 2.3649
Ca 0.0000 0.0000 16.5497
Mg 2.3611 0.0000 0.0000
Mg 2.3611 0.0000 4.7287
Mg 0.0000 0.0000 7.0228
Mg 0.0000 2.3611 0.0000
Mg 0.0000 0.0000 11.8918
Mg 0.0000 2.3611 4.7287